# 1
A plane-wave DFT calculation with PBE-GGA was carried out for a geometry-optimized Y2Ni12P3Pd structure.

a = 6.2738 Å, b = 6.2738 Å, c = 6.2738 Å
α = 86.10°, β = 86.10°, γ = 86.10°
Positions (direct):
Ni1 0.1276 0.6040 0.6040
Ni2 0.1869 0.1869 0.6863
Pd1 0.0000 0.0000 0.0000
Ni3 0.3960 0.8724 0.3960
Ni4 0.1869 0.6863 0.1869
Ni5 0.8131 0.8131 0.3137
Ni6 0.8131 0.3137 0.8131
Ni7 0.6040 0.1276 0.6040
P1 0.5000 0.0000 0.0000
P2 0.0000 0.5000 0.0000
Ni8 0.3960 0.3960 0.8724
P3 0.0000 0.0000 0.5000
Ni9 0.3137 0.8131 0.8131
Ni10 0.6040 0.6040 0.1276
Ni11 0.8724 0.3960 0.3960
Y1 0.2962 0.2962 0.2962
Ni12 0.6863 0.1869 0.1869
Y2 0.7038 0.7038 0.7038

=====

# 2
A plane-wave DFT calculation with PBE-GGA was carried out for a geometry-optimized ZnNiPPd2 structure.

a = 4.4843 Å, b = 4.3729 Å, c = 4.4843 Å
α = 90.00°, β = 90.00°, γ = 90.00°
Site moments in Bohr magnetons follow the coordinates.
Positions (direct):
Zn1 0.0000 0.5000 0.0000  0.00
Pd1 0.5000 0.0000 0.0000  0.04
P1 0.0000 0.0000 0.0000  0.03
Ni1 0.5000 0.5000 0.5000  0.57
Pd2 0.0000 0.0000 0.5000  0.03

=====

no.,formation energy from the elements (eV per atom)
1,-0.0911
2,0.3136